Record 1
# KNi3Pb5 | OQMD | PBE-GGA | relaxed
# **DFT total energy**: -36.40 eV per cell
data_KNi3Pb5
_chemical_formula_sum 'K1 Ni3 Pb5'
_cell_length_a 5.4566
_cell_length_b 5.4566
_cell_length_c 9.0349
_cell_angle_alpha 90.00
_cell_angle_beta 90.00
_cell_angle_gamma 120.00
_symmetry_space_group_name_H-M 'P 6/m m m'
_symmetry_Int_Tables_number 191
_symmetry_space_group_name_Hall '-P 6 2'
loop_
_atom_site_label
_atom_site_type_symbol
_atom_site_fract_x
_atom_site_fract_y
_atom_site_fract_z
K1 K 0.0000 0.0000 0.0000
Ni1 Ni 0.0000 0.5000 0.5000
Pb1 Pb 0.0000 0.0000 0.5000
Pb2 Pb 0.3333 0.6667 0.2445

=====

Record 2
# KNi2Pb2 | OQMD | PBE-GGA | relaxed
# **DFT total energy**: -18.69 eV per cell
data_KNi2Pb2
_chemical_formula_sum 'K1 Ni2 Pb2'
_cell_length_a 4.002
_cell_length_b 4.002
_cell_length_c 7.209
_cell_angle_alpha 90.00
_cell_angle_beta 90.00
_cell_angle_gamma 90.00
_symmetry_space_group_name_H-M 'P 4/m m m'
_symmetry_Int_Tables_number 123
_symmetry_space_group_name_Hall '-P 4 2'
loop_
_atom_site_label
_atom_site_type_symbol
_atom_site_fract_x
_atom_site_fract_y
_atom_site_fract_z
K1 K 0.000 0.000 0.000
Ni1 Ni 0.000 0.500 0.500
Pb1 Pb 0.500 0.500 0.260

=====

Number 1: spin magnetization 0.0 μB/cell. Number 2: spin magnetization 0.0 μB/cell.